This record from Alexandria via LeMat-Bulk describes an optimized crystal structure of LaAl3Ge3. The functional is PBE.

- energy of formation from the pure elements (eV per atom) = -0.3152
- size of the total moment (μB/f.u.) = 0.0

a = 8.3397 Å, b = 8.3397 Å, c = 8.3397 Å
α = 51.85°, β = 51.85°, γ = 51.85°
Sites, in units of the cell vectors:
La 0.1663 0.1663 0.1663
La 0.8337 0.8337 0.8337
Al 0.0376 0.7145 0.3756
Al 0.2855 0.6244 0.9624
Al 0.3756 0.0376 0.7145
Al 0.6244 0.9624 0.2855
Al 0.7145 0.3756 0.0376
Al 0.9624 0.2855 0.6244
Ge 0.0908 0.4141 0.7381
Ge 0.2619 0.9092 0.5859
Ge 0.4141 0.7381 0.0908
Ge 0.5859 0.2619 0.9092
Ge 0.7381 0.0908 0.4141
Ge 0.9092 0.5859 0.2619